1.
Compound: TbSmAlAg
Source: Alexandria
Functional: PBE-GGA
Structure: optimized geometry

Results
Symmetry ... P4mm
Calculated volume ... 24.7 Å³/atom
Relative energy among the computed polymorphs ... 0.00 eV per formula unit
M_tot ... 0.0 μB per formula unit
Energy relative to the elements ... -33.2 kJ per mole of atoms

a b c (Å): 3.5925 3.5925 7.6554
angles (deg): 90.00 90.00 90.00
Element x y z (fractional)
Tb  0.0000  0.0000  0.3561
Sm  0.0000  0.0000  0.8527
Al  0.5000  0.5000  0.5997
Ag  0.5000  0.5000  0.1194

=====

2.
Compound: SmAlTlAg
Source: Alexandria
Functional: PBE-GGA
Structure: optimized geometry

Results
Symmetry ... F-43m
Calculated volume ... 23.2 Å³/atom
M_tot ... 0.0 μB per formula unit
Energy relative to the elements ... -16.1 kJ per mole of atoms

a b c (Å): 5.0810 5.0810 5.0810
angles (deg): 60.00 60.00 60.00
Element x y z (fractional)
Tl  0.0000  0.0000  0.0000
Ag  0.5000  0.5000  0.5000
Sm  0.7500  0.7500  0.7500
Al  0.2500  0.2500  0.2500